The following is a PBE-GGA calculation of a geometry-optimized Li2AlTc structure, from Alexandria.

The electronic total energy is -17.82 eV for the cell shown. As for the total magnetic moment: 0.00 μB per atom. For the calculated formation energy, the calculation gives 0.0299 eV/atom.

The space group is Pmm2 (No. 25) and the conventional cell measures 2.633, 4.086 and 5.597 Å, with angles of 90.00, 90.00 and 90.00 degrees. The asymmetric unit holds Li at (0.000, 0.000, 0.000), Li at (0.500, 0.500, 0.242), Al at (0.500, 0.500, 0.701) and Tc at (0.000, 0.000, 0.514).